KMgH2: optimized geometry, GGA-PBEsol. Values from VASP.

Calculated values
The density comes out at 1.4 g cm⁻³. The total magnetization is 0.00 μB/f.u. As for the space-group type: I-42d (122). The value obtained for the density of states at the Fermi level is 0.32 states/eV per atom.

Structure (Quantum ESPRESSO input):
```
&SYSTEM
  ibrav = 0, nat = 8, ntyp = 3
/
ATOMIC_SPECIES
K 39.10 K.upf
H 1.01 H.upf
Mg 24.30 Mg.upf
CELL_PARAMETERS angstrom
-5.1366 1.0557 -0.1029
-1.0311 -5.0889 -0.7411
2.8153 1.2558 6.0198
ATOMIC_POSITIONS crystal
K 0.2500 0.7500 0.5000
H 0.1250 0.3202 0.7500
H 0.6798 0.3750 0.2500
K 0.0000 0.0000 0.0000
H 0.5702 0.8750 0.2500
H 0.6250 0.4298 0.7500
Mg 0.5000 0.5000 0.0000
Mg 0.7500 0.2500 0.5000
```

***

KMg3H: optimized geometry, GGA-PBEsol. Values from VASP.

Calculated values
The density comes out at 1.6 g cm⁻³. The total magnetization is 0.00 μB/f.u. As for the space-group type: Pm-3m (221). The value obtained for the density of states at the Fermi level is 0.42 states/eV per atom.

Structure (Quantum ESPRESSO input):
```
&SYSTEM
  ibrav = 0, nat = 5, ntyp = 3
/
ATOMIC_SPECIES
Mg 24.30 Mg.upf
H 1.01 H.upf
K 39.10 K.upf
CELL_PARAMETERS angstrom
4.9206 0.0000 0.0000
0.0000 4.9206 0.0000
0.0000 0.0000 4.9206
ATOMIC_POSITIONS crystal
Mg 0.5000 0.0000 0.0000
H 0.0000 0.0000 0.0000
Mg 0.0000 0.0000 0.5000
Mg 0.0000 0.5000 0.0000
K 0.5000 0.5000 0.5000
```

***

KMgPH12O10: optimized geometry, GGA-PBEsol. Values from VASP.

Calculated values
The density comes out at 1.9 g cm⁻³. The total magnetization is 0.00 μB/f.u. As for the space-group type: Pmn2_1 (31). The value obtained for the density of states at the Fermi level is 0.00 states/eV per atom.

Structure (Quantum ESPRESSO input):
```
&SYSTEM
  ibrav = 0, nat = 50, ntyp = 5
/
ATOMIC_SPECIES
O 16.00 O.upf
Mg 24.30 Mg.upf
H 1.01 H.upf
K 39.10 K.upf
P 30.97 P.upf
CELL_PARAMETERS angstrom
-4.8516 2.5584 2.6001
-3.9956 -2.5513 -4.9451
-1.6016 -9.1502 6.0149
ATOMIC_POSITIONS crystal
O 0.7765 0.5000 0.1693
O 0.8680 0.1865 0.6866
O 0.9887 0.5000 0.3682
Mg 0.6308 0.0000 0.3551
O 0.2671 0.7302 0.9648
O 0.3155 0.0000 0.4345
O 0.7329 0.7698 0.4648
H 0.1755 0.0000 0.3866
O 0.0113 0.0000 0.8682
O 0.1320 0.6865 0.1866
H 0.9801 0.6203 0.7382
H 0.6204 0.2494 0.7193
O 0.7329 0.2302 0.4648
H 0.1627 0.1731 0.9255
H 0.3796 0.2506 0.2193
O 0.8680 0.8135 0.6866
H 0.7934 0.2061 0.5488
K 0.6158 0.0000 0.0056
H 0.7263 0.5000 0.0226
Mg 0.3692 0.5000 0.8551
K 0.3842 0.5000 0.5056
P 0.0090 0.5000 0.2291
O 0.5369 0.7950 0.2278
H 0.6322 0.6772 0.2077
O 0.2671 0.2698 0.9648
O 0.9601 0.0000 0.2812
O 0.2235 0.0000 0.6693
H 0.3678 0.8228 0.7077
P 0.9910 0.0000 0.7291
O 0.4631 0.7050 0.7278
H 0.0199 0.1203 0.2382
H 0.6204 0.7506 0.7193
H 0.8245 0.5000 0.8866
H 0.2066 0.2939 0.0488
O 0.6845 0.5000 0.9345
H 0.2737 0.0000 0.5226
H 0.3796 0.7494 0.2193
H 0.2066 0.7061 0.0488
H 0.9801 0.3797 0.7382
O 0.5369 0.2050 0.2278
H 0.7934 0.7939 0.5488
H 0.8373 0.3269 0.4255
H 0.3678 0.1772 0.7077
H 0.8373 0.6731 0.4255
O 0.0399 0.5000 0.7812
H 0.1627 0.8269 0.9255
H 0.0199 0.8797 0.2382
O 0.4631 0.2950 0.7278
H 0.6322 0.3228 0.2077
O 0.1320 0.3135 0.1866
```

***

K2MgP4H8O16: optimized geometry, GGA-PBEsol. Values from VASP.

Calculated values
The density comes out at 2.3 g cm⁻³. The total magnetization is 0.00 μB/f.u. As for the space-group type: P-1 (2). The value obtained for the density of states at the Fermi level is 0.00 states/eV per atom.

Structure (Quantum ESPRESSO input):
```
&SYSTEM
  ibrav = 0, nat = 31, ntyp = 5
/
ATOMIC_SPECIES
O 16.00 O.upf
P 30.97 P.upf
H 1.01 H.upf
K 39.10 K.upf
Mg 24.30 Mg.upf
CELL_PARAMETERS angstrom
-0.1700 3.1332 -6.0979
2.2677 -5.7850 -4.0187
-6.5334 -1.9364 -3.1857
ATOMIC_POSITIONS crystal
O 0.7282 0.5875 0.8458
P 0.7517 0.3143 0.2600
O 0.2487 0.4838 0.8300
O 0.4272 0.7136 0.5607
O 0.7327 0.8416 0.5786
O 0.7675 0.1807 0.1250
H 0.8651 0.8206 0.3587
O 0.8024 0.9056 0.8798
P 0.2483 0.6857 0.7400
O 0.2718 0.4125 0.1542
H 0.5587 0.7724 0.5744
K 0.3677 0.7496 0.2100
O 0.9381 0.7932 0.2296
O 0.0592 0.7225 0.6462
O 0.1976 0.0944 0.1202
O 0.9408 0.2775 0.3538
P 0.8208 0.7721 0.7438
O 0.2325 0.8193 0.8750
H 0.1242 0.3159 0.7881
H 0.7434 0.5517 0.9878
O 0.7513 0.5162 0.1700
H 0.2566 0.4483 0.0122
Mg 0.0000 0.0000 0.0000
K 0.6323 0.2504 0.7900
H 0.8758 0.6841 0.2119
O 0.0619 0.2068 0.7704
H 0.4413 0.2276 0.4256
P 0.1792 0.2279 0.2562
H 0.1349 0.1794 0.6413
O 0.5728 0.2864 0.4393
O 0.2673 0.1584 0.4214
```

***

KMg2P2H31O23: optimized geometry, GGA-PBEsol. Values from VASP.

Calculated values
The density comes out at 1.8 g cm⁻³. The total magnetization is 0.09 μB/f.u. As for the space-group type: P1 (1). The value obtained for the density of states at the Fermi level is 0.00 states/eV per atom.

Structure (Quantum ESPRESSO input):
```
&SYSTEM
  ibrav = 0, nat = 59, ntyp = 5
/
ATOMIC_SPECIES
H 1.01 H.upf
O 16.00 O.upf
K 39.10 K.upf
P 30.97 P.upf
Mg 24.30 Mg.upf
CELL_PARAMETERS angstrom
6.3543 0.1076 -0.0079
0.2517 6.3357 0.0076
1.6783 1.0005 12.4886
ATOMIC_POSITIONS crystal
H 0.2838 0.1022 0.0661
H 0.6344 0.5990 0.9839
O 0.0248 0.4277 0.3362
H 0.2431 0.1184 0.4719
O 0.9918 0.0703 0.0828
O 0.8976 0.7883 0.4584
H 0.3128 0.6206 0.5389
K 0.5247 0.4274 0.2685
O 0.0368 0.9724 0.7064
O 0.3552 0.9719 0.3657
H 0.8192 0.8767 0.5158
H 0.0725 0.6934 0.9219
H 0.3624 0.6380 0.6940
O 0.6323 0.3028 0.8266
O 0.6488 0.0414 0.2106
O 0.3605 0.6003 0.4620
O 0.0394 0.3119 0.7982
O 0.0010 0.0433 0.2819
O 0.4365 0.1294 0.0465
H 0.4029 0.7206 0.0830
O 0.7056 0.4002 0.5455
O 0.7650 0.4715 0.0704
H 0.6787 0.2453 0.5720
H 0.0575 0.7309 0.6725
H 0.1831 0.7000 0.1577
H 0.9307 0.8860 0.3922
H 0.0101 0.2829 0.3100
O 0.0968 0.5879 0.6421
H 0.8401 0.5763 0.1054
H 0.0760 0.4688 0.7042
H 0.3652 0.7523 0.4234
O 0.3378 0.7085 0.1589
H 0.5993 0.8958 0.6505
P 0.8825 0.9646 0.1947
O 0.9104 0.7222 0.1933
O 0.1624 0.2037 0.5281
H 0.8670 0.3508 0.0573
H 0.9835 0.5426 0.2814
Mg 0.5614 0.0215 0.9046
O 0.1721 0.5696 0.9281
O 0.2976 0.0068 0.8395
H 0.7886 0.3331 0.8167
O 0.7002 0.0035 0.6134
O 0.5366 0.7091 0.9497
H 0.8221 0.9995 0.6592
H 0.1289 0.1098 0.5965
O 0.5158 0.6480 0.6975
H 0.5567 0.4299 0.7962
Mg 0.0198 0.4914 0.4908
H 0.1264 0.4624 0.8829
H 0.5100 0.0849 0.1114
H 0.4042 0.6410 0.9331
H 0.5905 0.5525 0.6434
P 0.0769 0.0659 0.8121
O 0.9027 0.9795 0.9043
H 0.5925 0.4579 0.5015
H 0.9511 0.0208 0.0092
H 0.4844 0.9856 0.3073
H 0.2294 0.9810 0.3237
```

***

K4Mg2H16S4O23: optimized geometry, GGA-PBEsol. Values from VASP.

Calculated values
The density comes out at 2.2 g cm⁻³. The total magnetization is 0.00 μB/f.u. As for the space-group type: P1 (1). The value obtained for the density of states at the Fermi level is 0.00 states/eV per atom.

Structure (Quantum ESPRESSO input):
```
&SYSTEM
  ibrav = 0, nat = 49, ntyp = 5
/
ATOMIC_SPECIES
O 16.00 O.upf
H 1.01 H.upf
S 32.06 S.upf
K 39.10 K.upf
Mg 24.30 Mg.upf
CELL_PARAMETERS angstrom
-0.7466 -3.9415 5.8384
-1.1224 -6.9326 -3.2619
9.8954 -2.4072 1.1594
ATOMIC_POSITIONS crystal
O 0.5254 0.7743 0.1192
O 0.3888 0.6858 0.3663
H 0.9622 0.9151 0.2079
S 0.7398 0.7243 0.1108
H 0.1716 0.6571 0.5928
O 0.9810 0.9865 0.7802
H 0.7533 0.2448 0.5938
O 0.8363 0.8020 0.9936
O 0.2170 0.4899 0.8767
H 0.8922 0.9083 0.7458
O 0.2639 0.8053 0.9462
H 0.4473 0.7196 0.2777
O 0.6103 0.2634 0.6044
H 0.7868 0.3135 0.0503
O 0.2801 0.3369 0.4492
O 0.0106 0.7256 0.5080
H 0.2463 0.6829 0.9271
H 0.3158 0.7954 0.4079
H 0.3619 0.7953 0.0093
O 0.5076 0.2707 0.8626
O 0.0292 0.2220 0.3591
H 0.0009 0.0752 0.7102
O 0.7924 0.5292 0.1064
K 0.5112 0.1011 0.2392
K 0.1021 0.5489 0.2747
S 0.1530 0.2019 0.4695
H 0.2727 0.5627 0.7190
H 0.5683 0.2681 0.7016
O 0.7778 0.1967 0.0166
O 0.0255 0.2300 0.5965
O 0.7293 0.5804 0.5399
O 0.7988 0.7893 0.2326
K 0.8657 0.4824 0.7923
O 0.6734 0.3601 0.3271
O 0.0572 0.9906 0.1689
O 0.3189 0.3397 0.0748
O 0.1927 0.1851 0.9079
Mg 0.0194 0.0002 0.9712
Mg 0.5005 0.4826 0.4915
O 0.3005 0.6172 0.6315
H 0.8041 0.3077 0.3522
H 0.0540 0.0828 0.2364
O 0.2728 0.0266 0.4641
S 0.3074 0.3213 0.9342
S 0.7925 0.7608 0.5452
K 0.3938 0.9453 0.7066
H 0.6716 0.2168 0.9577
H 0.7039 0.4340 0.2484
O 0.7627 0.7982 0.6957
```

***

KRbMg2H: optimized geometry, GGA-PBEsol. Values from VASP.

Calculated values
The density comes out at 1.3 g cm⁻³. The total magnetization is 0.00 μB/f.u. As for the space-group type: P4/mmm (123). The value obtained for the density of states at the Fermi level is 0.56 states/eV per atom.

Structure (Quantum ESPRESSO input):
```
&SYSTEM
  ibrav = 0, nat = 5, ntyp = 4
/
ATOMIC_SPECIES
K 39.10 K.upf
Rb 85.47 Rb.upf
Mg 24.30 Mg.upf
H 1.01 H.upf
CELL_PARAMETERS angstrom
-1.3783 1.7101 -4.1139
-6.2352 -2.8671 0.8973
-2.2002 5.7656 3.1338
ATOMIC_POSITIONS crystal
K 0.0000 0.0000 0.0000
Rb 0.5000 0.5000 0.5000
Mg 0.0000 0.0000 0.5000
Mg 0.0000 0.5000 0.0000
H 0.5000 0.0000 0.0000
```

***

KMn3H: optimized geometry, GGA-PBEsol. Values from VASP.

Calculated values
The density comes out at 4.8 g cm⁻³. The total magnetization is 10.66 μB/f.u. As for the space-group type: Pm-3m (221). The value obtained for the density of states at the Fermi level is 0.54 states/eV per atom.

Structure (Quantum ESPRESSO input):
```
&SYSTEM
  ibrav = 0, nat = 5, ntyp = 3
/
ATOMIC_SPECIES
Mn 54.94 Mn.upf
H 1.01 H.upf
K 39.10 K.upf
CELL_PARAMETERS angstrom
-0.3386 4.0609 -0.7694
-3.9302 -0.5553 -1.2013
-1.2794 0.6311 3.8939
ATOMIC_POSITIONS crystal
Mn 0.5000 0.0000 0.0000
H 0.0000 0.0000 0.0000
K 0.5000 0.5000 0.5000
Mn 0.0000 0.0000 0.5000
Mn 0.0000 0.5000 0.0000
```

***

no.,E (eV/atom)
1,-2.294
2,-1.604
3,-5.523
4,-6.324
5,-5.412
6,-5.565
7,-1.239
8,-5.619